[1]
# SiGe2Ir2

A relaxed SiGe2Ir2 crystal (PBE, Alexandria).

Unit cell a=7.404 b=7.404 c=2.846 alpha=90.00 beta=90.00 gamma=90.00
Sites, in units of the cell vectors:
Si  0.000  0.000  0.000
Si  0.500  0.500  0.000
Ge  0.149  0.351  0.500
Ge  0.351  0.851  0.500
Ge  0.649  0.149  0.500
Ge  0.851  0.649  0.500
Ir  0.148  0.648  0.000
Ir  0.352  0.148  0.000
Ir  0.648  0.852  0.000
Ir  0.852  0.352  0.000

Values from the calculation:
Space-group type: P4/mbm (127)
Size of the total moment (μB/f.u.): 0.0
Uncorrected formation energy (meV/atom): 2

[2]
# Zn6CuRh2

A relaxed Zn6CuRh2 crystal (PBE, Alexandria).

Unit cell a=7.196 b=7.196 c=4.146 alpha=106.23 beta=106.23 gamma=48.14
Sites, in units of the cell vectors:
Zn  0.085  0.583  0.335
Zn  0.249  0.751  0.000
Zn  0.417  0.915  0.665
Zn  0.583  0.085  0.335
Zn  0.751  0.249  0.000
Zn  0.915  0.417  0.665
Cu  0.500  0.500  0.500
Rh  0.166  0.166  0.165
Rh  0.834  0.834  0.835

Values from the calculation:
Space-group type: C2/m (12)
Size of the total moment (μB/f.u.): 0.0
E_form (eV per atom): -0.04
E above lowest polymorph (meV/atom): 184

Calculated volume for the records above, in order: 15.60 16.91 A^3/atom